# Sc3TeW, relaxed, DFT GGA-PBEsol
# Raw formation energy, meV/atom: 392
# Calculated total energy, eV per atom: -7.0376
# Total magnetic moment, μB/cell: 0.001
# Crystal system: cubic
# N(E_F), states/eV per atom: 1.270
data_Sc3TeW
_symmetry_space_group_name_H-M 'P 1'
_symmetry_Int_Tables_number 1
_symmetry_space_group_name_Hall 'P 1'
_cell_length_a 5.015
_cell_length_b 5.015
_cell_length_c 5.015
_cell_angle_alpha 90.00
_cell_angle_beta 90.00
_cell_angle_gamma 90.00
loop_
_atom_site_label
_atom_site_type_symbol
_atom_site_fract_x
_atom_site_fract_y
_atom_site_fract_z
Sc1 Sc 0.000 0.000 0.500
Sc2 Sc 0.000 0.500 0.000
Sc3 Sc 0.500 0.000 0.000
Te1 Te 0.500 0.500 0.500
W1 W 0.000 0.000 0.000